# 1
4
Lattice="1.431 0.826 9.027 -1.431 0.826 9.027 0.000 -1.652 9.027" Properties=species:S:1:pos:R:3 comment="InReIr2 | Alexandria via LeMat-Bulk | PBE-GGA | optimized geometry" final_energy_ev_per_cell=-32.5 magmom_total_mub_per_fu=0.00 space_group="No. 166" polymorph_energy_mev_per_atom=202 formation_energy_ev_per_atom=0.10 pbc="T T T"
In 0.000 0.000 0.000
Re 0.000 0.000 13.540
Ir 0.000 0.000 6.641
Ir 0.000 0.000 20.440



# 2
10
Lattice="7.770 0.000 0.000 0.000 7.770 0.000 0.000 0.000 2.769" Properties=species:S:1:pos:R:3 comment="InRe2Ir2 | Alexandria via LeMat-Bulk | PBE-GGA | optimized geometry" final_energy_ev_per_cell=-88.6 magmom_total_mub_per_fu=0.00 space_group="No. 127" polymorph_energy_mev_per_atom=0 formation_energy_ev_per_atom=0.22 pbc="T T T"
In 0.000 0.000 0.000
In 3.885 3.885 0.000
Re 0.951 2.934 0.000
Re 2.934 6.819 0.000
Re 4.836 0.951 0.000
Re 6.819 4.836 0.000
Ir 1.290 5.175 1.384
Ir 2.595 1.290 1.384
Ir 5.175 6.480 1.384
Ir 6.480 2.595 1.384



# 3
4
Lattice="2.868 -3.867 0.000 2.868 3.867 0.000 0.000 0.000 2.849" Properties=species:S:1:pos:R:3 comment="InReIr2 | Alexandria via LeMat-Bulk | PBE-GGA | optimized geometry" final_energy_ev_per_cell=-32.4 magmom_total_mub_per_fu=0.00 space_group="No. 65" polymorph_energy_mev_per_atom=238 formation_energy_ev_per_atom=0.14 pbc="T T T"
In 0.000 0.000 0.000
Re 2.868 0.000 0.000
Ir 1.434 1.934 1.425
Ir 1.434 -1.934 1.425



# 4
4
Lattice="2.868 0.000 0.000 0.000 4.670 0.000 0.000 0.000 4.801" Properties=species:S:1:pos:R:3 comment="InReIr2 | Alexandria via LeMat-Bulk | PBE-GGA | optimized geometry" final_energy_ev_per_cell=-31.2 magmom_total_mub_per_fu=0.00 space_group="No. 47" polymorph_energy_mev_per_atom=534 formation_energy_ev_per_atom=0.43 pbc="T T T"
In 0.000 0.000 0.000
Re 1.434 0.000 2.400
Ir 0.000 2.335 2.400
Ir 1.434 2.335 0.000



# 5
5
Lattice="4.779 0.000 0.000 0.000 4.779 0.000 0.000 0.000 4.673" Properties=species:S:1:pos:R:3 comment="InReIr2Ru | Alexandria via LeMat-Bulk | PBE-GGA | optimized geometry" final_energy_ev_per_cell=-35.2 magmom_total_mub_per_fu=0.00 space_group="No. 123" formation_energy_ev_per_atom=1.40 pbc="T T T"
In 0.000 0.000 0.000
Re 2.390 2.390 2.336
Ir 0.000 2.390 2.336
Ir 2.390 0.000 2.336
Ru 2.390 2.390 0.000



# 6
5
Lattice="4.864 0.000 0.000 0.000 4.864 0.000 0.000 0.000 5.102" Properties=species:S:1:pos:R:3 comment="InRe2SnIr | Alexandria via LeMat-Bulk | PBE-GGA | optimized geometry" final_energy_ev_per_cell=-25.9 magmom_total_mub_per_fu=3.15 space_group="No. 123" formation_energy_ev_per_atom=2.92 pbc="T T T"
In 0.000 0.000 0.000
Re 0.000 2.432 0.000
Re 2.432 0.000 0.000
Sn 0.000 0.000 2.551
Ir 2.432 2.432 2.551



# 7
5
Lattice="5.070 0.000 0.000 0.000 5.070 0.000 0.000 0.000 4.644" Properties=species:S:1:pos:R:3 comment="In2ReTcIr | Alexandria via LeMat-Bulk | PBE-GGA | optimized geometry" final_energy_ev_per_cell=-29.0 magmom_total_mub_per_fu=1.57 space_group="No. 123" formation_energy_ev_per_atom=1.64 pbc="T T T"
In 0.000 2.535 0.000
In 2.535 0.000 0.000
Re 0.000 0.000 0.000
Tc 0.000 0.000 2.322
Ir 2.535 2.535 2.322



# 8
5
Lattice="4.970 0.000 0.000 0.000 4.970 0.000 0.000 0.000 5.033" Properties=species:S:1:pos:R:3 comment="TlInReIr2 | Alexandria via LeMat-Bulk | PBE-GGA | optimized geometry" final_energy_ev_per_cell=-23.3 magmom_total_mub_per_fu=3.05 space_group="No. 123" formation_energy_ev_per_atom=2.40 pbc="T T T"
Tl 0.000 0.000 0.000
In 2.485 2.485 2.516
Re 0.000 0.000 2.516
Ir 0.000 2.485 0.000
Ir 2.485 0.000 0.000



# 9
5
Lattice="5.283 0.000 0.000 0.000 5.283 0.000 0.000 0.000 4.715" Properties=species:S:1:pos:R:3 comment="ZnIn2ReIr | Alexandria via LeMat-Bulk | PBE-GGA | optimized geometry" final_energy_ev_per_cell=-23.3 magmom_total_mub_per_fu=0.00 space_group="No. 123" formation_energy_ev_per_atom=0.95 pbc="T T T"
Zn 0.000 0.000 0.000
In 0.000 2.642 2.357
In 2.642 0.000 2.357
Re 2.642 2.642 2.357
Ir 2.642 2.642 0.000



# 10
3
Lattice="-1.441 1.964 4.310 1.441 -1.964 4.310 1.441 1.964 -4.310" Properties=species:S:1:pos:R:3 comment="InIrRh | Alexandria via LeMat-Bulk | PBE-GGA | optimized geometry" final_energy_ev_per_cell=-18.8 magmom_total_mub_per_fu=0.01 space_group="No. 44" polymorph_energy_mev_per_atom=70 formation_energy_ev_per_atom=0.06 pbc="T T T"
In 0.000 0.000 0.000
Ir 0.000 0.000 2.838
Rh 0.000 0.000 5.780



# 11
4
Lattice="-1.547 2.269 5.048 1.547 -2.269 5.048 1.547 2.269 -5.048" Properties=species:S:1:pos:R:3 comment="In2IrRh | Alexandria via LeMat-Bulk | PBE-GGA | optimized geometry" final_energy_ev_per_cell=-21.9 magmom_total_mub_per_fu=0.00 space_group="No. 44" formation_energy_ev_per_atom=-0.05 pbc="T T T"
In 0.000 0.000 0.000
In 0.000 2.269 2.216
Ir 1.547 0.000 2.419
Rh 0.000 0.000 4.846



# 12
3
Lattice="2.918 0.000 0.000 -1.459 2.527 0.000 0.000 0.000 6.634" Properties=species:S:1:pos:R:3 comment="InIrRh | Alexandria via LeMat-Bulk | PBE-GGA | optimized geometry" final_energy_ev_per_cell=-18.6 magmom_total_mub_per_fu=0.00 space_group="No. 156" polymorph_energy_mev_per_atom=121 formation_energy_ev_per_atom=0.11 pbc="T T T"
In 0.000 0.000 0.000
Ir 1.459 0.842 2.276
Rh 0.000 1.685 4.417